1.
Density functional theory data (PBE) for a relaxed TiNbZnMo crystal.

Summary:
Its calculated volume is 16.28 Å³/atom. As for the crystal system: tetragonal. Its formation energy is -147 meV per atom. Its final energy is -0.5633 Ry per atom.

The structure in CIF format:
```
data_TiNbZnMo
_chemical_formula_sum 'Ti1 Nb1 Zn1 Mo1'
_space_group_name_H-M_alt 'P 4 m m'
_space_group_IT_number 99
_space_group_name_Hall 'P 4 -2'
_cell_length_a 3.278
_cell_length_b 3.278
_cell_length_c 6.058
_cell_angle_alpha 90.00
_cell_angle_beta 90.00
_cell_angle_gamma 90.00
loop_
_atom_site_label
_atom_site_fract_x
_atom_site_fract_y
_atom_site_fract_z
Ti1 0.000 0.000 0.000
Nb1 0.000 0.000 0.489
Zn1 0.500 0.500 0.754
Mo1 0.500 0.500 0.245
```


2.
Density functional theory data (PBE) for a relaxed TiNbZnMo crystal.

Summary:
Its calculated volume is 16.33 Å³/atom. As for the crystal system: cubic. Its formation energy is -66 meV per atom. Its final energy is -0.5574 Ry per atom.

The structure in CIF format:
```
data_TiNbZnMo
_chemical_formula_sum 'Ti4 Nb4 Zn4 Mo4'
_space_group_name_H-M_alt 'F -4 3 m'
_space_group_IT_number 216
_space_group_name_Hall 'F -4 2 3'
_cell_length_a 6.393
_cell_length_b 6.393
_cell_length_c 6.393
_cell_angle_alpha 90.00
_cell_angle_beta 90.00
_cell_angle_gamma 90.00
loop_
_atom_site_label
_atom_site_fract_x
_atom_site_fract_y
_atom_site_fract_z
Ti1 0.000 0.000 0.000
Nb1 0.000 0.000 0.500
Zn1 0.250 0.250 0.750
Mo1 0.250 0.250 0.250
```


3.
Density functional theory data (PBE) for a relaxed Nb2TlMo2 crystal.

Summary:
Its calculated volume is 20.75 Å³/atom. As for the crystal system: tetragonal. Its formation energy is 803 meV per atom. Its final energy is -0.5902 Ry per atom.

The structure in CIF format:
```
data_Nb2TlMo2
_chemical_formula_sum 'Nb4 Tl2 Mo4'
_space_group_name_H-M_alt 'I 4/m m m'
_space_group_IT_number 139
_space_group_name_Hall '-I 4 2'
_cell_length_a 4.168
_cell_length_b 4.168
_cell_length_c 11.945
_cell_angle_alpha 90.00
_cell_angle_beta 90.00
_cell_angle_gamma 90.00
loop_
_atom_site_label
_atom_site_fract_x
_atom_site_fract_y
_atom_site_fract_z
Nb1 0.000 0.000 0.116
Tl1 0.000 0.000 0.500
Mo1 0.000 0.500 0.250
```


4.
Density functional theory data (PBE) for a relaxed NbTl2Mo2 crystal.

Summary:
Its calculated volume is 20.59 Å³/atom. As for the crystal system: tetragonal. Its formation energy is 893 meV per atom. Its final energy is -0.4704 Ry per atom.

The structure in CIF format:
```
data_NbTl2Mo2
_chemical_formula_sum 'Nb2 Tl4 Mo4'
_space_group_name_H-M_alt 'I 4/m m m'
_space_group_IT_number 139
_space_group_name_Hall '-I 4 2'
_cell_length_a 3.667
_cell_length_b 3.667
_cell_length_c 15.314
_cell_angle_alpha 90.00
_cell_angle_beta 90.00
_cell_angle_gamma 90.00
loop_
_atom_site_label
_atom_site_fract_x
_atom_site_fract_y
_atom_site_fract_z
Nb1 0.000 0.000 0.000
Tl1 0.000 0.000 0.399
Mo1 0.000 0.500 0.250
```


5.
Density functional theory data (PBE) for a relaxed NbTlMo2 crystal.

Summary:
Its calculated volume is 19.80 Å³/atom. As for the crystal system: tetragonal. Its formation energy is 1023 meV per atom. Its final energy is -0.5513 Ry per atom.

The structure in CIF format:
```
data_NbTlMo2
_chemical_formula_sum 'Nb4 Tl4 Mo8'
_space_group_name_H-M_alt 'I -4 2 d'
_space_group_IT_number 122
_space_group_name_Hall 'I -4 2bw'
_cell_length_a 7.499
_cell_length_b 7.499
_cell_length_c 5.633
_cell_angle_alpha 90.00
_cell_angle_beta 90.00
_cell_angle_gamma 90.00
loop_
_atom_site_label
_atom_site_fract_x
_atom_site_fract_y
_atom_site_fract_z
Nb1 0.000 0.000 0.000
Tl1 0.000 0.000 0.500
Mo1 0.216 0.750 0.125
```


6.
Density functional theory data (PBE) for a relaxed NbTl2Mo2 crystal.

Summary:
Its calculated volume is 20.05 Å³/atom. As for the crystal system: tetragonal. Its formation energy is 798 meV per atom. Its final energy is -0.4774 Ry per atom.

The structure in CIF format:
```
data_NbTl2Mo2
_chemical_formula_sum 'Nb2 Tl4 Mo4'
_space_group_name_H-M_alt 'P 4/m b m'
_space_group_IT_number 127
_space_group_name_Hall '-P 4 2ab'
_cell_length_a 8.114
_cell_length_b 8.114
_cell_length_c 3.046
_cell_angle_alpha 90.00
_cell_angle_beta 90.00
_cell_angle_gamma 90.00
loop_
_atom_site_label
_atom_site_fract_x
_atom_site_fract_y
_atom_site_fract_z
Nb1 0.000 0.000 0.000
Tl1 0.186 0.314 0.000
Mo1 0.106 0.606 0.500
```


Copy entry 2 word for word.
Density functional theory data (PBE) for a relaxed TiNbZnMo crystal.

Summary:
Its calculated volume is 16.33 Å³/atom. As for the crystal system: cubic. Its formation energy is -66 meV per atom. Its final energy is -0.5574 Ry per atom.

The structure in CIF format:
```
data_TiNbZnMo
_chemical_formula_sum 'Ti4 Nb4 Zn4 Mo4'
_space_group_name_H-M_alt 'F -4 3 m'
_space_group_IT_number 216
_space_group_name_Hall 'F -4 2 3'
_cell_length_a 6.393
_cell_length_b 6.393
_cell_length_c 6.393
_cell_angle_alpha 90.00
_cell_angle_beta 90.00
_cell_angle_gamma 90.00
loop_
_atom_site_label
_atom_site_fract_x
_atom_site_fract_y
_atom_site_fract_z
Ti1 0.000 0.000 0.000
Nb1 0.000 0.000 0.500
Zn1 0.250 0.250 0.750
Mo1 0.250 0.250 0.250
```


Question: Which value of calculated volume does entry 5 give?
Answer: 19.80 Å³/atom